Entry from the Alexandria database: a relaxed Y2MgSe crystal (GGA-PBE).

Geometry as extended XYZ:
```
4
Lattice="0.000 3.698 3.698 3.698 0.000 3.698 3.698 3.698 0.000" Properties=species:S:1:pos:R:3 pbc="T T T"
Se 3.698 3.698 3.698
Y 1.849 1.849 1.849
Mg 0.000 0.000 0.000
Y 5.547 5.547 5.547
```

Values from the calculation:
Total energy: -4.949 eV/atom
Energy above the most stable polymorph in this dataset: 413 meV per atom
Energy relative to the elements, uncorrected: -172 kJ/mol of formula units


Entry from the Alexandria database: a relaxed Y3MgSe6 crystal (GGA-PBE).

Geometry as extended XYZ:
```
20
Lattice="-0.205 2.166 6.360 -8.389 -3.330 0.864 5.185 -6.989 2.547" Properties=species:S:1:pos:R:3 pbc="T T T"
Y 0.667 -0.124 7.000
Se -5.450 -4.577 6.421
Y -1.388 -6.742 9.188
Mg 2.533 -6.231 2.346
Mg -5.847 -2.917 4.500
Y -0.212 -4.702 4.395
Se 2.058 -3.753 2.830
Y -3.256 -2.826 7.210
Se 2.000 -4.764 6.287
Se 0.940 -7.354 4.021
Se -0.915 -2.086 5.533
Se 4.770 -6.484 3.685
Y -2.114 -0.430 3.463
Se -2.467 -6.357 3.386
Se -1.956 -5.440 6.641
Se -4.332 -0.975 5.230
Se -5.368 -3.833 2.181
Y -4.169 -7.048 5.651
Se -8.153 -1.945 5.275
Se -1.425 -3.003 2.277
```

Values from the calculation:
Total energy: -5.754 eV/atom
Energy relative to the elements, uncorrected: -1509 kJ/mol of formula units


Entry from the Alexandria database: a relaxed Y4MgSe5 crystal (GGA-PBE).

Geometry as extended XYZ:
```
10
Lattice="-4.320 2.355 -2.952 -3.314 -4.475 -4.297 -6.226 -0.353 3.253" Properties=species:S:1:pos:R:3 pbc="T T T"
Se -6.087 0.732 -1.673
Se -3.628 -2.600 -2.353
Mg -0.001 0.001 -0.001
Y -4.046 -0.642 -0.181
Se -7.782 -3.200 -2.329
Y -5.883 -1.350 -3.632
Y -7.986 -1.118 -0.370
Y -9.824 -1.825 -3.821
Se -2.164 1.179 -1.478
Se -10.241 0.132 -1.649
```

Values from the calculation:
Total energy: -6.117 eV/atom
Energy relative to the elements, uncorrected: -1572 kJ/mol of formula units


Entry from the Alexandria database: a relaxed Y2MgSe crystal (GGA-PBE).

Geometry as extended XYZ:
```
4
Lattice="3.853 0.000 0.000 1.927 3.337 0.000 1.927 1.112 8.693" Properties=species:S:1:pos:R:3 pbc="T T T"
Se 5.780 3.337 8.677
Y 1.927 1.112 6.925
Mg 3.853 2.225 4.354
Y 1.927 1.112 1.775
```

Values from the calculation:
Total energy: -5.307 eV/atom
Energy above the most stable polymorph in this dataset: 55 meV per atom
Energy relative to the elements, uncorrected: -311 kJ/mol of formula units


Entry from the Alexandria database: a relaxed Y6MgSe8 crystal (GGA-PBE).

Geometry as extended XYZ:
```
15
Lattice="7.044 0.000 4.067 2.348 6.641 4.067 0.000 0.000 8.134" Properties=species:S:1:pos:R:3 pbc="T T T"
Mg 0.000 0.000 0.000
Y 1.174 3.321 6.101
Se 5.903 1.615 10.224
Y 3.522 0.000 2.034
Se 7.109 5.027 8.134
Y 3.522 0.000 6.101
Se 3.490 5.027 6.045
Y 4.696 3.321 4.067
Se 2.283 1.615 8.134
Se 3.490 5.027 10.224
Se 2.348 1.660 4.067
Y 1.174 3.321 2.034
Y 0.000 0.000 4.067
Se 5.903 1.615 6.045
Se 7.044 4.981 12.201
```

Values from the calculation:
Total energy: -6.318 eV/atom
Energy relative to the elements, uncorrected: -2558 kJ/mol of formula units


Entry from the Alexandria database: a relaxed YMgSe2 crystal (GGA-PBE).

Geometry as extended XYZ:
```
4
Lattice="4.653 0.000 0.000 0.000 5.200 0.000 0.000 0.000 3.594" Properties=species:S:1:pos:R:3 pbc="T T T"
Y 2.327 0.000 1.797
Mg 0.000 2.600 1.797
Se 2.327 2.600 0.000
Se 0.000 0.000 0.000
```

Values from the calculation:
Total energy: -4.975 eV/atom
Energy relative to the elements, uncorrected: -470 kJ/mol of formula units